{
  "formula": "SiSe",
  "functional": "PBE-GGA",
  "state": "relaxed",
  "total_magnetization_mub_per_cell": 0.0,
  "e_tot_ev_per_atom": -4.30,
  "e_form_raw_mev_per_atom": 158,
  "lattice": [[-4.840, 4.840, 4.840], [4.840, -4.840, 4.840], [4.840, 4.840, -4.840]],
  "species": ["Si", "Si", "Si", "Si", "Se", "Se", "Se", "Se"],
  "frac_coords": [[0.000, 0.000, 0.756], [0.000, 0.756, 0.000], [0.244, 0.244, 0.244], [0.756, 0.000, 0.000], [0.000, 0.000, 0.270], [0.000, 0.270, 0.000], [0.270, 0.000, 0.000], [0.730, 0.730, 0.730]]
}

---

{
  "formula": "ZrAgTe2",
  "functional": "PBE-GGA",
  "state": "relaxed",
  "total_magnetization_mub_per_cell": 0.0,
  "e_tot_ev_per_atom": -4.85,
  "e_form_raw_mev_per_atom": -426,
  "lattice": [[3.669, 0.000, 0.000], [0.000, 3.666, 0.000], [-0.971, 0.000, 7.233]],
  "species": ["Zr", "Ag", "Te", "Te"],
  "frac_coords": [[0.000, 0.000, 0.000], [0.000, 0.000, 0.500], [0.421, 0.500, 0.769], [0.579, 0.500, 0.231]]
}

---

{
  "formula": "Mn4CuBr",
  "functional": "PBE-GGA",
  "state": "relaxed",
  "total_magnetization_mub_per_cell": 6.9,
  "e_tot_ev_per_atom": -6.23,
  "e_form_raw_mev_per_atom": 847,
  "lattice": [[0.000, 3.442, 3.442], [3.442, 0.000, 3.442], [3.442, 3.442, 0.000]],
  "species": ["Mn", "Mn", "Mn", "Mn", "Cu", "Br"],
  "frac_coords": [[0.376, 0.376, 0.376], [0.376, 0.376, 0.871], [0.376, 0.871, 0.376], [0.871, 0.376, 0.376], [0.750, 0.750, 0.750], [0.000, 0.000, 0.000]]
}

---

{
  "formula": "ZnFeTc2",
  "functional": "PBE-GGA",
  "state": "relaxed",
  "total_magnetization_mub_per_cell": 2.4,
  "delta_e_f_ev_per_atom": 0.1639,
  "e_tot_ev_per_atom": -7.45,
  "lattice": [[1.527, -2.140, 0.000], [1.527, 2.140, 0.000], [0.000, 0.000, 8.549]],
  "species": ["Zn", "Fe", "Tc", "Tc"],
  "frac_coords": [[0.000, 0.000, 0.000], [0.500, 0.500, 0.758], [0.000, 0.000, 0.518], [0.500, 0.500, 0.263]]
}

---

{
  "formula": "ScAl3Fe",
  "functional": "PBE-GGA",
  "state": "relaxed",
  "total_magnetization_mub_per_cell": 0.8,
  "delta_e_f_ev_per_atom": 1.7095,
  "e_above_lowest_polymorph_ev_per_fu": 10.192,
  "e_tot_ev_per_atom": -3.49,
  "lattice": [[5.046, 0.000, 0.000], [0.000, 5.046, 0.000], [0.000, 0.000, 5.046]],
  "species": ["Sc", "Al", "Al", "Al", "Fe"],
  "frac_coords": [[0.000, 0.000, 0.000], [0.000, 0.000, 0.500], [0.000, 0.500, 0.000], [0.500, 0.000, 0.000], [0.500, 0.500, 0.500]]
}

---

{
  "formula": "PuBe2Pt2",
  "functional": "PBE-GGA",
  "state": "relaxed",
  "total_magnetization_mub_per_cell": 11.1,
  "delta_e_f_ev_per_atom": -0.6985,
  "e_tot_ev_per_atom": -7.47,
  "lattice": [[4.005, 0.000, 0.000], [0.000, 4.005, 0.000], [0.000, 0.000, 9.717]],
  "species": ["Pu", "Pu", "Be", "Be", "Be", "Be", "Pt", "Pt", "Pt", "Pt"],
  "frac_coords": [[0.250, 0.250, 0.245], [0.750, 0.750, 0.755], [0.250, 0.250, 0.625], [0.250, 0.750, 0.000], [0.750, 0.250, 0.000], [0.750, 0.750, 0.375], [0.250, 0.250, 0.872], [0.250, 0.750, 0.500], [0.750, 0.250, 0.500], [0.750, 0.750, 0.128]]
}

---

{
  "formula": "VPb2C2",
  "functional": "PBE-GGA",
  "state": "relaxed",
  "total_magnetization_mub_per_cell": 5.4,
  "delta_e_f_ev_per_atom": 2.1277,
  "e_above_lowest_polymorph_ev_per_fu": 4.225,
  "e_tot_ev_per_atom": -4.87,
  "lattice": [[7.293, 0.000, 0.000], [0.000, 7.293, 0.000], [0.000, 0.000, 3.337]],
  "species": ["V", "V", "Pb", "Pb", "Pb", "Pb", "C", "C", "C", "C"],
  "frac_coords": [[0.000, 0.000, 0.000], [0.500, 0.500, 0.000], [0.148, 0.352, 0.000], [0.352, 0.852, 0.000], [0.648, 0.148, 0.000], [0.852, 0.648, 0.000], [0.167, 0.667, 0.500], [0.333, 0.167, 0.500], [0.667, 0.833, 0.500], [0.833, 0.333, 0.500]]
}

---

{
  "formula": "SbTePb3",
  "functional": "PBE-GGA",
  "state": "relaxed",
  "total_magnetization_mub_per_cell": 0.0,
  "e_above_lowest_polymorph_ev_per_fu": 0.000,
  "e_tot_ev_per_atom": -3.23,
  "e_form_raw_mev_per_atom": 444,
  "lattice": [[5.920, 0.000, 0.000], [0.000, 5.920, 0.000], [0.000, 0.000, 5.920]],
  "species": ["Sb", "Te", "Pb", "Pb", "Pb"],
  "frac_coords": [[0.000, 0.000, 0.000], [0.500, 0.500, 0.500], [0.000, 0.000, 0.500], [0.000, 0.500, 0.000], [0.500, 0.000, 0.000]]
}

---

{
  "formula": "Ba2Ni2Ir",
  "functional": "PBE-GGA",
  "state": "relaxed",
  "total_magnetization_mub_per_cell": 1.6,
  "delta_e_f_ev_per_atom": 0.2418,
  "e_above_lowest_polymorph_ev_per_fu": 1.904,
  "e_tot_ev_per_atom": -4.61,
  "lattice": [[6.846, 0.000, 0.000], [0.000, 6.846, 0.000], [0.000, 0.000, 4.836]],
  "species": ["Ba", "Ba", "Ba", "Ba", "Ni", "Ni", "Ni", "Ni", "Ir", "Ir"],
  "frac_coords": [[0.188, 0.312, 0.000], [0.312, 0.812, 0.000], [0.688, 0.188, 0.000], [0.812, 0.688, 0.000], [0.126, 0.626, 0.500], [0.374, 0.126, 0.500], [0.626, 0.874, 0.500], [0.874, 0.374, 0.500], [0.000, 0.000, 0.500], [0.500, 0.500, 0.500]]
}

---

{
  "formula": "HfPPd",
  "functional": "PBE-GGA",
  "state": "relaxed",
  "total_magnetization_mub_per_cell": 0.0,
  "delta_e_f_ev_per_atom": -0.9122,
  "e_tot_ev_per_atom": -7.76,
  "lattice": [[4.545, -1.914, 0.000], [4.545, 1.914, 0.000], [-1.503, 0.000, 6.074]],
  "species": ["Hf", "Hf", "P", "P", "Pd", "Pd"],
  "frac_coords": [[0.108, 0.108, 0.282], [0.892, 0.892, 0.718], [0.182, 0.182, 0.701], [0.818, 0.818, 0.299], [0.374, 0.374, 0.080], [0.626, 0.626, 0.920]]
}

---

{
  "formula": "RbDyZnO3",
  "functional": "PBE-GGA",
  "state": "relaxed",
  "total_magnetization_mub_per_cell": 0.0,
  "e_tot_ev_per_atom": -5.84,
  "e_form_raw_mev_per_atom": -2221,
  "lattice": [[7.899, 0.000, 0.000], [0.000, 3.546, 0.000], [-2.430, 0.000, 7.997]],
  "species": ["Rb", "Rb", "Dy", "Dy", "Zn", "Zn", "O", "O", "O", "O", "O", "O"],
  "frac_coords": [[0.202, 0.250, 0.216], [0.798, 0.750, 0.784], [0.344, 0.750, 0.858], [0.656, 0.250, 0.142], [0.081, 0.250, 0.615], [0.919, 0.750, 0.385], [0.152, 0.250, 0.856], [0.169, 0.750, 0.549], [0.467, 0.750, 0.131], [0.533, 0.250, 0.869], [0.831, 0.250, 0.451], [0.848, 0.750, 0.144]]
}

---

{
  "formula": "Sm2ErCdC",
  "functional": "PBE-GGA",
  "state": "relaxed",
  "total_magnetization_mub_per_cell": 0.0,
  "delta_e_f_ev_per_atom": -0.2469,
  "e_tot_ev_per_atom": -5.07,
  "lattice": [[5.104, 0.000, 0.000], [0.000, 5.104, 0.000], [0.000, 0.000, 4.808]],
  "species": ["Sm", "Sm", "Er", "Cd", "C"],
  "frac_coords": [[0.000, 0.500, 0.000], [0.500, 0.000, 0.000], [0.000, 0.000, 0.500], [0.500, 0.500, 0.500], [0.000, 0.000, 0.000]]
}

---

{
  "formula": "KAlIr2",
  "functional": "PBE-GGA",
  "state": "relaxed",
  "total_magnetization_mub_per_cell": 0.0,
  "delta_e_f_ev_per_atom": 0.2165,
  "e_tot_ev_per_atom": -5.42,
  "lattice": [[2.773, 0.000, 0.000], [0.000, 3.958, 0.000], [-1.358, 0.000, 7.490]],
  "species": ["K", "Al", "Ir", "Ir"],
  "frac_coords": [[0.000, 0.000, 0.000], [0.000, 0.000, 0.500], [0.373, 0.500, 0.660], [0.627, 0.500, 0.340]]
}

---

{
  "formula": "Ac4MgIn",
  "functional": "PBE-GGA",
  "state": "relaxed",
  "total_magnetization_mub_per_cell": 0.0,
  "delta_e_f_ev_per_atom": 0.0761,
  "e_tot_ev_per_atom": -3.39,
  "lattice": [[5.643, 0.000, 0.000], [0.000, 5.643, 0.000], [0.000, 0.000, 8.101]],
  "species": ["Ac", "Ac", "Ac", "Ac", "Mg", "In"],
  "frac_coords": [[0.000, 0.500, 0.247], [0.000, 0.500, 0.753], [0.500, 0.000, 0.247], [0.500, 0.000, 0.753], [0.000, 0.000, 0.500], [0.500, 0.500, 0.000]]
}

---

{
  "formula": "Ba2TlAg3",
  "functional": "PBE-GGA",
  "state": "relaxed",
  "total_magnetization_mub_per_cell": 0.0,
  "delta_e_f_ev_per_atom": -0.2675,
  "e_above_lowest_polymorph_ev_per_fu": 0.000,
  "e_tot_ev_per_atom": -2.73,
  "lattice": [[5.853, -2.570, 0.000], [5.853, 2.570, 0.000], [-5.609, 0.000, 6.086]],
  "species": ["Ba", "Ba", "Tl", "Ag", "Ag", "Ag"],
  "frac_coords": [[0.000, 0.000, 0.000], [0.096, 0.096, 0.594], [0.380, 0.380, 0.193], [0.388, 0.388, 0.578], [0.704, 0.704, 0.010], [0.720, 0.720, 0.408]]
}

---

{
  "formula": "AcLa2Pm6Pr3",
  "functional": "PBE-GGA",
  "state": "relaxed",
  "total_magnetization_mub_per_cell": 0.0,
  "delta_e_f_ev_per_atom": 0.0172,
  "e_tot_ev_per_atom": -4.72,
  "lattice": [[3.223, -5.590, 0.000], [3.223, 5.590, 0.000], [-2.163, 0.000, 12.041]],
  "species": ["Ac", "La", "La", "Pm", "Pm", "Pm", "Pm", "Pm", "Pm", "Pr", "Pr", "Pr"],
  "frac_coords": [[0.000, 0.000, 0.000], [0.333, 0.667, 0.000], [0.667, 0.333, 0.000], [0.085, 0.420, 0.253], [0.250, 0.250, 0.747], [0.420, 0.085, 0.253], [0.580, 0.915, 0.747], [0.750, 0.750, 0.253], [0.915, 0.580, 0.747], [0.167, 0.833, 0.500], [0.500, 0.500, 0.500], [0.833, 0.167, 0.500]]
}

---

{
  "formula": "ThMgCrC",
  "functional": "PBE-GGA",
  "state": "relaxed",
  "total_magnetization_mub_per_cell": 1.1,
  "delta_e_f_ev_per_atom": 0.1708,
  "e_tot_ev_per_atom": -6.79,
  "lattice": [[3.537, 0.000, 0.000], [0.000, 3.537, 0.000], [0.000, 0.000, 11.368]],
  "species": ["Th", "Th", "Mg", "Mg", "Cr", "Cr", "C", "C"],
  "frac_coords": [[0.250, 0.250, 0.221], [0.750, 0.750, 0.779], [0.250, 0.750, 0.500], [0.750, 0.250, 0.500], [0.250, 0.750, 0.000], [0.750, 0.250, 0.000], [0.250, 0.250, 0.894], [0.750, 0.750, 0.106]]
}

---

{
  "formula": "Ta2GaGe2",
  "functional": "PBE-GGA",
  "state": "relaxed",
  "total_magnetization_mub_per_cell": 0.0,
  "delta_e_f_ev_per_atom": 0.1159,
  "e_above_lowest_polymorph_ev_per_fu": 0.981,
  "e_tot_ev_per_atom": -7.08,
  "lattice": [[6.924, 0.000, 0.000], [0.000, 6.924, 0.000], [0.000, 0.000, 3.552]],
  "species": ["Ta", "Ta", "Ta", "Ta", "Ga", "Ga", "Ge", "Ge", "Ge", "Ge"],
  "frac_coords": [[0.162, 0.338, 0.000], [0.338, 0.838, 0.000], [0.662, 0.162, 0.000], [0.838, 0.662, 0.000], [0.000, 0.000, 0.500], [0.500, 0.500, 0.500], [0.136, 0.636, 0.500], [0.364, 0.136, 0.500], [0.636, 0.864, 0.500], [0.864, 0.364, 0.500]]
}

---

{
  "formula": "Ac5ThPt4",
  "functional": "PBE-GGA",
  "state": "relaxed",
  "total_magnetization_mub_per_cell": 0.0,
  "delta_e_f_ev_per_atom": -0.9628,
  "e_tot_ev_per_atom": -6.18,
  "lattice": [[9.458, -2.182, 0.000], [9.458, 2.182, 0.000], [-2.079, 0.000, 8.322]],
  "species": ["Ac", "Ac", "Ac", "Ac", "Ac", "Th", "Pt", "Pt", "Pt", "Pt"],
  "frac_coords": [[0.000, 0.000, 0.000], [0.333, 0.333, 0.655], [0.337, 0.337, 0.169], [0.663, 0.663, 0.831], [0.667, 0.667, 0.345], [0.000, 0.000, 0.500], [0.163, 0.163, 0.590], [0.500, 0.500, 0.259], [0.500, 0.500, 0.741], [0.837, 0.837, 0.410]]
}

---

{
  "formula": "Rb2CSeF6",
  "functional": "PBE-GGA",
  "state": "relaxed",
  "total_magnetization_mub_per_cell": 0.0,
  "e_tot_ev_per_atom": -3.98,
  "e_form_raw_mev_per_atom": -1389,
  "lattice": [[-3.288, 3.288, 4.113], [3.288, -3.288, 4.113], [3.288, 3.288, -4.113]],
  "species": ["Rb", "Rb", "C", "Se", "F", "F", "F", "F", "F", "F"],
  "frac_coords": [[0.250, 0.750, 0.500], [0.750, 0.250, 0.500], [0.000, 0.000, 0.000], [0.500, 0.500, 0.000], [0.159, 0.159, 0.318], [0.159, 0.841, 0.000], [0.239, 0.239, 0.000], [0.761, 0.761, 0.000], [0.841, 0.159, 0.000], [0.841, 0.841, 0.682]]
}

---

{
  "formula": "CaNd2Mg",
  "functional": "PBE-GGA",
  "state": "relaxed",
  "total_magnetization_mub_per_cell": 0.0,
  "delta_e_f_ev_per_atom": -0.0045,
  "e_above_lowest_polymorph_ev_per_fu": 0.000,
  "e_tot_ev_per_atom": -3.29,
  "lattice": [[3.912, 0.000, 0.000], [0.000, 3.912, 0.000], [0.000, 0.000, 8.844]],
  "species": ["Ca", "Nd", "Nd", "Mg"],
  "frac_coords": [[0.000, 0.000, 0.000], [0.500, 0.500, 0.292], [0.500, 0.500, 0.708], [0.000, 0.000, 0.500]]
}

---

{
  "formula": "Li2AcPuCl8",
  "functional": "PBE-GGA",
  "state": "relaxed",
  "total_magnetization_mub_per_cell": 5.0,
  "e_tot_ev_per_atom": -4.96,
  "e_form_raw_mev_per_atom": -1872,
  "lattice": [[6.312, 0.000, 0.000], [-3.156, 5.466, 0.000], [0.000, 0.000, 9.028]],
  "species": ["Li", "Li", "Ac", "Pu", "Cl", "Cl", "Cl", "Cl", "Cl", "Cl", "Cl", "Cl"],
  "frac_coords": [[0.333, 0.667, 0.254], [0.667, 0.333, 0.746], [0.000, 0.000, 0.500], [0.000, 0.000, 0.000], [0.019, 0.704, 0.790], [0.296, 0.315, 0.790], [0.315, 0.019, 0.210], [0.333, 0.667, 0.501], [0.667, 0.333, 0.499], [0.685, 0.981, 0.790], [0.704, 0.685, 0.210], [0.981, 0.296, 0.210]]
}

---

{
  "formula": "BaY2Sb2",
  "functional": "PBE-GGA",
  "state": "relaxed",
  "total_magnetization_mub_per_cell": 3.4,
  "e_above_lowest_polymorph_ev_per_fu": 0.801,
  "e_tot_ev_per_atom": -5.31,
  "e_form_raw_mev_per_atom": -694,
  "lattice": [[8.898, 0.000, 0.000], [0.000, 8.898, 0.000], [0.000, 0.000, 3.894]],
  "species": ["Ba", "Ba", "Y", "Y", "Y", "Y", "Sb", "Sb", "Sb", "Sb"],
  "frac_coords": [[0.000, 0.000, 0.000], [0.500, 0.500, 0.000], [0.128, 0.372, 0.000], [0.372, 0.872, 0.000], [0.628, 0.128, 0.000], [0.872, 0.628, 0.000], [0.166, 0.666, 0.500], [0.334, 0.166, 0.500], [0.666, 0.834, 0.500], [0.834, 0.334, 0.500]]
}

---

{
  "formula": "Ca3BiSe4",
  "functional": "PBE-GGA",
  "state": "relaxed",
  "total_magnetization_mub_per_cell": 0.0,
  "e_tot_ev_per_atom": -4.48,
  "e_form_raw_mev_per_atom": -1503,
  "lattice": [[-3.052, 3.052, 5.939], [3.052, -3.052, 5.939], [3.052, 3.052, -5.939]],
  "species": ["Ca", "Ca", "Ca", "Bi", "Se", "Se", "Se", "Se"],
  "frac_coords": [[0.000, 0.000, 0.000], [0.250, 0.750, 0.500], [0.750, 0.250, 0.500], [0.500, 0.500, 0.000], [0.000, 0.500, 0.500], [0.248, 0.248, 0.000], [0.500, 0.000, 0.500], [0.752, 0.752, 0.000]]
}